The following is a DFT calculation (GGA-PBE) of a relaxed structure of HoTaN.

Lattice parameters (Å, degrees): 3.216 3.216 11.052 90.00 90.00 120.00
Fractional positions:
1 Ho 0.000 0.000 0.135
2 Ho 0.000 0.000 0.865
3 Ta 0.333 0.667 0.378
4 Ta 0.333 0.667 0.622
5 N 0.667 0.333 0.000
6 N 0.667 0.333 0.500

Summary:
* formation energy (no corrections): -45.66 kJ/mol of atoms
* D(E_F): 5.1 states/eV/cell
* M_tot: 0.00 μB/f.u.